# 1
A geometry-optimized Li2LaIn structure, computed with GGA-PBE.

Cell lengths 5.215, 3.190, 6.126 Å; angles 86.77, 90.00, 90.00 degrees
Fractional positions:
In (0.500, 0.250, 0.250)
La (0.500, 0.750, 0.750)
Li (0.000, 0.085, 0.030)
Li (0.000, 0.415, 0.470)

Energy relative to the elements, eV per formula unit: -0.548


# 2
A geometry-optimized MgCo2PdN structure, computed with GGA-PBE.

Cell lengths 3.732, 3.732, 4.284 Å; angles 90.00, 90.00, 90.00 degrees
Last column: magnetic moment on the atom in μB.
Fractional positions:
Mg (0.000, 0.000, 0.500)  0.00
Co (0.000, 0.500, 0.000)  1.10
Co (0.500, 0.000, 0.000)  1.10
Pd (0.500, 0.500, 0.500)  0.09
N (0.000, 0.000, 0.000)  0.10

Uncorrected formation energy, eV/atom: -0.202


# 3
A geometry-optimized Ce6Pb2N structure, computed with GGA-PBE.

Cell lengths 4.308, 7.919, 7.919 Å; angles 120.00, 90.00, 90.00 degrees
Last column: magnetic moment on the atom in μB.
Fractional positions:
Ce (0.500, 0.000, 0.796)  0.40
Ce (0.500, 0.796, 0.000)  0.40
Ce (0.500, 0.204, 0.204)  0.40
Ce (0.000, 0.647, 0.647)  0.72
Ce (0.000, 0.353, 0.000)  0.72
Ce (0.000, 0.000, 0.353)  0.72
Pb (0.500, 0.333, 0.667)  -0.01
Pb (0.500, 0.667, 0.333)  -0.01
N (0.000, 0.000, 0.000)  -0.02

Uncorrected formation energy, eV/atom: -0.299
ΔE to the lowest computed polymorph, eV/atom: 0.257


# 4
A geometry-optimized AcDyTh2 structure, computed with GGA-PBE.

Cell lengths 4.246, 4.246, 7.796 Å; angles 90.00, 90.00, 90.00 degrees
Fractional positions:
Ac (0.500, 0.500, 0.500)
Th (0.000, 0.000, 0.784)
Th (0.000, 0.000, 0.216)
Dy (0.500, 0.500, 0.000)

ΔE to the lowest computed polymorph, eV/atom: 0.103
Energy relative to the elements, eV per formula unit: 0.865


E_tot across the listed records, respectively: -3.01 -6.07 -6.00 -5.67 eV/atom.